Record 1
Below is a relaxed Zn2CrIr crystal, with properties calculated at the PBE level. Values from VASP.

```
&SYSTEM
  ibrav = 0, nat = 4, ntyp = 3
/
ATOMIC_SPECIES
Cr 52.00 Cr.upf
Ir 192.22 Ir.upf
Zn 65.41 Zn.upf
ATOMIC_POSITIONS crystal
Cr 0.000 0.481 0.519
Ir 0.500 0.774 0.726
Zn 0.000 0.992 0.007
Zn 0.500 0.252 0.248
CELL_PARAMETERS angstrom
3.566 0.000 0.000
0.000 2.760 0.007
0.000 2.753 5.586
```

Properties
final energy: -21.2 eV/cell
calculated formation energy: -0.03 eV per atom
volume: 54.9 Å³ per cell
E above lowest polymorph: 59 meV per atom
space group: No. 25

---

Record 2
Below is a relaxed NaAlZn2 crystal, with properties calculated at the PBE level. Values from VASP.

```
&SYSTEM
  ibrav = 0, nat = 8, ntyp = 3
/
ATOMIC_SPECIES
Na 22.99 Na.upf
Zn 65.41 Zn.upf
Al 26.98 Al.upf
ATOMIC_POSITIONS crystal
Na 0.500 0.500 0.000
Na 0.250 0.750 0.500
Zn 0.779 0.125 0.250
Zn 0.971 0.625 0.250
Zn 0.375 0.221 0.750
Zn 0.875 0.029 0.750
Al 0.000 0.000 0.000
Al 0.750 0.250 0.500
CELL_PARAMETERS angstrom
-4.097 2.382 0.315
-0.990 -2.241 4.069
1.503 6.437 6.682
```

Properties
final energy: -13.2 eV/cell
calculated formation energy: 0.25 eV per atom
volume: 198.0 Å³ per cell
space group: No. 122

---

Record 3
Below is a relaxed SrSb2PO crystal, with properties calculated at the PBE level. Values from VASP.

```
&SYSTEM
  ibrav = 0, nat = 5, ntyp = 4
/
ATOMIC_SPECIES
Sb 121.76 Sb.upf
O 16.00 O.upf
P 30.97 P.upf
Sr 87.62 Sr.upf
ATOMIC_POSITIONS crystal
Sb 0.000 0.000 0.500
Sb 0.500 0.000 0.000
O 0.000 0.500 0.000
P 0.500 0.500 0.500
Sr 0.000 0.000 0.000
CELL_PARAMETERS angstrom
6.064 0.000 0.000
0.000 4.246 0.000
0.000 0.000 6.064
```

Properties
final energy: -17.0 eV/cell
volume: 156.1 Å³ per cell
space group: No. 123

---

Record 4
Below is a relaxed Ti2TlSi2 crystal, with properties calculated at the PBE level. Values from VASP.

```
&SYSTEM
  ibrav = 0, nat = 10, ntyp = 3
/
ATOMIC_SPECIES
Tl 204.38 Tl.upf
Si 28.09 Si.upf
Ti 47.87 Ti.upf
ATOMIC_POSITIONS crystal
Tl 0.000 0.000 0.000
Tl 0.500 0.500 0.000
Si 0.380 0.880 0.000
Si 0.880 0.620 0.000
Si 0.620 0.120 0.000
Si 0.120 0.380 0.000
Ti 0.170 0.670 0.500
Ti 0.670 0.830 0.500
Ti 0.830 0.330 0.500
Ti 0.330 0.170 0.500
CELL_PARAMETERS angstrom
-0.340 -1.297 6.835
6.234 -3.094 -0.277
1.546 3.057 0.657
```

Properties
final energy: -59.4 eV/cell
volume: 169.2 Å³ per cell
E above lowest polymorph: 0 meV per atom
space group: No. 127